Compound: NaVI3
Source: the Alexandria database
Functional: PBE-GGA
Structure: optimized geometry

Unit cell a=5.6784 b=5.6784 c=5.6784 alpha=90.00 beta=90.00 gamma=90.00
With the nearest neighbours (Å) after each atom.
Fractional positions:
Na (0.0000, 0.0000, 0.0000)  12 I 4.02
V (0.5000, 0.5000, 0.5000)  6 I 2.84
I (0.0000, 0.5000, 0.5000)  2 V 2.84
I (0.5000, 0.0000, 0.5000)  2 V 2.84
I (0.5000, 0.5000, 0.0000)  2 V 2.84

Output
Formation energy without anion corrections   -516 meV/atom

Compound: Pm4SbPt
Source: the Alexandria database
Functional: PBE-GGA
Structure: optimized geometry

Unit cell a=8.3739 b=8.3739 c=5.9667 alpha=102.10 beta=102.10 gamma=115.34
With the nearest neighbours (Å) after each atom.
Fractional positions:
Pm (0.0724, 0.7016, 0.9290)  2 Pt 3.13-3.19, 2 Sb 3.27-3.33, 2 Pm 3.42-3.47
Pm (0.2123, 0.3628, 0.6626)  2 Pt 2.97-3.02, 1 Sb 3.29
Pm (0.2984, 0.9276, 0.5710)  2 Pt 3.13-3.19, 2 Sb 3.27-3.33, 2 Pm 3.42-3.47
Pm (0.3628, 0.2123, 0.1626)  2 Pt 2.97-3.02, 1 Sb 3.29
Pm (0.6372, 0.7877, 0.8374)  2 Pt 2.97-3.02, 1 Sb 3.29
Pm (0.7016, 0.0724, 0.4290)  2 Pt 3.13-3.19, 2 Sb 3.27-3.33, 2 Pm 3.42-3.47
Pm (0.7877, 0.6372, 0.3374)  2 Pt 2.97-3.02, 1 Sb 3.29
Pm (0.9276, 0.2984, 0.0710)  2 Pt 3.13-3.19, 2 Sb 3.27-3.33, 2 Pm 3.42-3.47
Sb (0.3790, 0.6210, 0.2500)  8 Pm 3.27-3.33
Sb (0.6210, 0.3790, 0.7500)  8 Pm 3.27-3.33
Pt (0.0016, 0.9984, 0.7500)  8 Pm 2.97-3.19, 2 Pt 2.98
Pt (0.9984, 0.0016, 0.2500)  8 Pm 2.97-3.19, 2 Pt 2.98

Output
Formation energy without anion corrections   -721 meV/atom

- formation energy without anion corrections of number 2 (Pm4SbPt)?
  -721 meV/atom